No. 1
VASP calculation (PBE-GGA) on an optimized crystal structure of Ta3C4.

Lattice parameters (Å, degrees): 8.1957 8.1957 8.1957 158.01 158.01 31.30
Atoms (fractional coordinates):
1 C 0.1743 0.1743 0.0000
2 C 0.5446 0.5446 0.0000
3 C 0.8257 0.8257 0.0000
4 C 0.4554 0.4554 0.0000
5 Ta 0.3200 0.3200 0.0000
6 Ta 0.0000 0.0000 0.0000
7 Ta 0.6800 0.6800 0.0000

Energy of formation from the pure elements, eV/atom: 0.005
Excess energy over the best structure of this formula in the dataset, eV per atom: 0.000
Theoretical density, g cm⁻³: 12.718
Symmetry: I4/mmm (139)
VASP energy, eV/atom: -10.35

=====

No. 2
VASP calculation (PBE-GGA) on an optimized crystal structure of Ni2PtRhN.

Lattice parameters (Å, degrees): 3.8553 3.8553 4.0083 90.00 90.00 90.00
Atoms (fractional coordinates):
1 Pt 0.5000 0.5000 0.5000
2 Ni 0.5000 0.0000 0.0000
3 Ni 0.0000 0.5000 0.0000
4 Rh 0.0000 0.0000 0.5000
5 N 0.0000 0.0000 0.0000

Theoretical density, g cm⁻³: 11.968
Symmetry: P4/mmm (123)
VASP energy, eV/atom: -6.52